Computed, not measured: a relaxed Ti6Si7Ni16 crystal at the PBE-GGA level of DFT.

The structure in CIF format:
```
data_Ti6Si7Ni16
_space_group_name_H-M_alt 'F m -3 m'
_space_group_IT_number 225
_space_group_name_Hall '-F 4 2 3'
_cell_length_a 11.189
_cell_length_b 11.189
_cell_length_c 11.189
_cell_angle_alpha 90.00
_cell_angle_beta 90.00
_cell_angle_gamma 90.00
loop_
_atom_site_label
_atom_site_type_symbol
_atom_site_fract_x
_atom_site_fract_y
_atom_site_fract_z
Ti1 Ti 0.000 0.000 0.201
Si1 Si 0.000 0.000 0.500
Si2 Si 0.000 0.250 0.250
Ni1 Ni 0.118 0.118 0.382
Ni2 Ni 0.165 0.165 0.165
```

E_form (uncorrected) in meV/atom: -700
Crystal system: cubic



Computed, not measured: a relaxed DyTmNp2Se4 crystal at the PBE-GGA level of DFT.

The structure in CIF format:
```
data_DyTmNp2Se4
_space_group_name_H-M_alt 'P 1 2/m 1'
_space_group_IT_number 10
_cell_length_a 7.040
_cell_length_b 4.060
_cell_length_c 7.085
_cell_angle_alpha 90.00
_cell_angle_beta 109.26
_cell_angle_gamma 90.00
loop_
_space_group_symop_operation_xyz
'x,y,z'
'-x,-y,-z'
'-x,y,-z'
'x,-y,z'
loop_
_atom_site_label
_atom_site_type_symbol
_atom_site_fract_x
_atom_site_fract_y
_atom_site_fract_z
Dy1 Dy 0.000 0.000 0.000
Tm1 Tm 0.500 0.500 0.000
Np1 Np 0.000 0.500 0.500
Np2 Np 0.500 0.000 0.500
Se1 Se 0.251 0.500 0.245
Se2 Se 0.255 0.000 0.757
```

E_form (uncorrected) in meV/atom: -1403
Crystal system: monoclinic



Volume readings, ordered: 12.08 23.90 Å³/atom
Total energy readings, ordered: -792.57 -60.12 eV/cell
Total magnetization readings, ordered: 0.00 9.14 μB/cell